# 1
VASP calculation (PBE-GGA) on a relaxed UGeAu2 crystal.

Calculated values
* space-group type: P4/mmm (123)
* crystal system: tetragonal
* total DFT energy (no corrections): -5.621 eV/atom
* ΔH_f (0 K): -0.14 kcal/mol of atoms

a = 3.2869 Å, b = 3.2869 Å, c = 7.6232 Å
α = 90.00°, β = 90.00°, γ = 90.00°
Closest atoms and distances in Å follow each position.
Atoms (fractional coordinates):
Au (0.0000, 0.0000, 0.7714)  4 Ge 2.91, 4 U 3.11
Au (0.0000, 0.0000, 0.2286)  4 Ge 2.91, 4 U 3.11
Ge (0.5000, 0.5000, 0.0000)  8 Au 2.91
U (0.5000, 0.5000, 0.5000)  8 Au 3.11, 4 U 3.29

# 2
VASP calculation (PBE-GGA) on a relaxed NiPtCl crystal.

Calculated values
* space-group type: Fmm2 (42)
* crystal system: orthorhombic
* total DFT energy (no corrections): -4.307 eV/atom
* formation energy from raw total energies: 72 kJ/mol of formula units
* E above lowest polymorph: 276 meV per atom

a = 6.8386 Å, b = 6.5387 Å, c = 2.9382 Å
α = 83.09°, β = 71.66°, γ = 25.25°
Closest atoms and distances in Å follow each position.
Atoms (fractional coordinates):
Cl (0.0321, 0.0321, 0.9679)  2 Ni 2.20
Ni (0.6572, 0.6572, 0.3428)  2 Cl 2.20
Pt (0.3107, 0.3107, 0.6893)  2 Ni 2.47

# 3
VASP calculation (PBE-GGA) on a relaxed La2Al3Ag5 crystal.

Calculated values
* space-group type: P-4m2 (115)
* crystal system: tetragonal
* total DFT energy (no corrections): -3.809 eV/atom
* ΔH_f (0 K): -6.35 kcal/mol of atoms
* E above lowest polymorph: 21 meV per atom

a = 4.3411 Å, b = 4.3411 Å, c = 11.7788 Å
α = 90.00°, β = 90.00°, γ = 90.00°
Closest atoms and distances in Å follow each position.
Atoms (fractional coordinates):
La (0.5000, 0.0000, 0.2624)  6 Al 3.32-3.54, 6 Ag 3.33-3.54
La (0.0000, 0.5000, 0.7376)  6 Al 3.32-3.54, 6 Ag 3.33-3.54
Al (0.5000, 0.0000, 0.6298)  3 Ag 2.56-2.65, 2 Al 2.65
Al (0.0000, 0.5000, 0.3702)  3 Ag 2.56-2.65, 2 Al 2.65
Al (0.0000, 0.0000, 0.5000)  4 Al 2.65
Ag (0.5000, 0.5000, 0.0000)  8 Ag 2.82-3.07
Ag (0.0000, 0.0000, 0.0000)  8 Ag 2.82-3.07
Ag (0.5000, 0.0000, 0.8468)  1 Al 2.56, 4 Ag 2.82
Ag (0.0000, 0.5000, 0.1532)  1 Al 2.56, 4 Ag 2.82
Ag (0.5000, 0.5000, 0.5000)  4 Al 2.65

# 4
VASP calculation (PBE-GGA) on a relaxed CrAs2Ir crystal.

Calculated values
* space-group type: Pmm2 (25)
* crystal system: orthorhombic
* total DFT energy (no corrections): -6.971 eV/atom
* ΔH_f (0 K): -0.57 kcal/mol of atoms
* E above lowest polymorph: 16 meV per atom

a = 4.6201 Å, b = 3.0213 Å, c = 4.3469 Å
α = 90.04°, β = 90.00°, γ = 90.00°
Closest atoms and distances in Å follow each position.
Atoms (fractional coordinates):
As (0.0000, 0.8750, 0.9885)  2 Ir 2.55, 4 Cr 2.60-2.69
As (0.5000, 0.3749, 0.2695)  2 Cr 2.52, 4 Ir 2.55-2.75
Cr (0.0000, 0.3750, 0.5004)  6 As 2.52-2.69
Ir (0.5000, 0.8751, 0.7416)  6 As 2.55-2.75

# 5
VASP calculation (PBE-GGA) on a relaxed Ti6Fe5Mo crystal.

Calculated values
* space-group type: Cmmm (65)
* crystal system: orthorhombic
* total DFT energy (no corrections): -8.703 eV/atom
* ΔH_f (0 K): -7.53 kcal/mol of atoms

a = 4.2290 Å, b = 5.9840 Å, c = 6.6964 Å
α = 90.00°, β = 71.59°, γ = 90.00°
Closest atoms and distances in Å follow each position.
Atoms (fractional coordinates):
Mo (0.0000, 0.0000, 0.0000)  8 Ti 2.61-2.62
Fe (0.6677, 0.5000, 0.6646)  8 Ti 2.55-2.59
Fe (0.3310, 0.0000, 0.3380)  8 Ti 2.55-2.64
Fe (0.0000, 0.5000, 0.0000)  8 Ti 2.57-2.61
Fe (0.6690, 0.0000, 0.6620)  8 Ti 2.55-2.64
Fe (0.3323, 0.5000, 0.3354)  8 Ti 2.55-2.59
Ti (0.8309, 0.7485, 0.3383)  7 Fe 2.55-2.61, 1 Mo 2.62
Ti (0.8309, 0.2515, 0.3383)  7 Fe 2.55-2.61, 1 Mo 2.62
Ti (0.5000, 0.2554, 0.0000)  6 Fe 2.57-2.64, 2 Mo 2.61
Ti (0.5000, 0.7446, 0.0000)  6 Fe 2.57-2.64, 2 Mo 2.61
Ti (0.1691, 0.7485, 0.6617)  7 Fe 2.55-2.61, 1 Mo 2.62
Ti (0.1691, 0.2515, 0.6617)  7 Fe 2.55-2.61, 1 Mo 2.62

# 6
VASP calculation (PBE-GGA) on a relaxed TaMo2Ir crystal.

Calculated values
* space-group type: I-42d (122)
* crystal system: tetragonal
* total DFT energy (no corrections): -10.098 eV/atom
* ΔH_f (0 K): 11.43 kcal/mol of atoms
* E above lowest polymorph: 649 meV per atom

a = 7.3516 Å, b = 7.3516 Å, c = 5.8126 Å
α = 50.77°, β = 50.77°, γ = 90.00°
Closest atoms and distances in Å follow each position.
Atoms (fractional coordinates):
Mo (0.6447, 0.1250, 0.2500)  2 Ir 2.58, 2 Mo 2.62, 2 Ta 2.78
Mo (0.1053, 0.6250, 0.2500)  2 Ir 2.58, 2 Mo 2.62, 2 Ta 2.78
Mo (0.3750, 0.3553, 0.7500)  2 Ir 2.58, 2 Mo 2.62, 2 Ta 2.78
Mo (0.8750, 0.8947, 0.7500)  2 Ir 2.58, 2 Mo 2.62, 2 Ta 2.78
Ir (0.0000, 0.0000, 0.0000)  4 Mo 2.58, 2 Ta 2.60
Ir (0.7500, 0.2500, 0.5000)  4 Mo 2.58, 2 Ta 2.60
Ta (0.5000, 0.5000, 0.0000)  2 Ir 2.60, 4 Mo 2.78
Ta (0.2500, 0.7500, 0.5000)  2 Ir 2.60, 4 Mo 2.78

# 7
VASP calculation (PBE-GGA) on a relaxed TcRhIO2 crystal.

Calculated values
* space-group type: P4/mmm (123)
* crystal system: tetragonal
* total DFT energy (no corrections): -6.182 eV/atom
* formation energy from raw total energies: -166 kJ/mol of formula units
* E above lowest polymorph: 0 meV per atom

a = 3.7813 Å, b = 3.7813 Å, c = 6.0469 Å
α = 90.00°, β = 90.00°, γ = 90.00°
Closest atoms and distances in Å follow each position.
Atoms (fractional coordinates):
I (0.0000, 0.0000, 0.5000)  4 Rh 2.67
Rh (0.5000, 0.5000, 0.5000)  4 I 2.67
Tc (0.0000, 0.0000, 0.0000)  4 O 1.89
O (0.0000, 0.5000, 0.0000)  2 Tc 1.89
O (0.5000, 0.0000, 0.0000)  2 Tc 1.89

# 8
VASP calculation (PBE-GGA) on a relaxed K2Tl3PbBr6 crystal.

Calculated values
* space-group type: C2/m (12)
* crystal system: monoclinic
* total DFT energy (no corrections): -2.948 eV/atom
* formation energy from raw total energies: -1191 kJ/mol of formula units

a = 7.9397 Å, b = 7.9397 Å, c = 8.6831 Å
α = 98.86°, β = 98.86°, γ = 120.69°
Closest atoms and distances in Å follow each position.
Atoms (fractional coordinates):
K (0.3353, 0.6647, 0.0000)  6 Br 3.30-3.33
K (0.6647, 0.3353, 0.0000)  6 Br 3.30-3.33
Tl (0.1721, 0.8279, 0.5000)  6 Br 3.41-3.52
Tl (0.8279, 0.1721, 0.5000)  6 Br 3.41-3.52
Tl (0.5000, 0.5000, 0.5000)  6 Br 3.41-3.54
Pb (0.0000, 0.0000, 0.0000)  6 Br 3.12-3.16
Br (0.9244, 0.6090, 0.7727)  1 Pb 3.12, 2 K 3.30-3.32, 2 Tl 3.41-3.42
Br (0.7657, 0.7657, 0.2367)  1 Pb 3.16, 2 K 3.33, 2 Tl 3.41
Br (0.0756, 0.3910, 0.2273)  1 Pb 3.12, 2 K 3.30-3.32, 2 Tl 3.41-3.42
Br (0.6090, 0.9244, 0.7727)  1 Pb 3.12, 2 K 3.30-3.32, 2 Tl 3.41-3.42
Br (0.2343, 0.2343, 0.7633)  1 Pb 3.16, 2 K 3.33, 2 Tl 3.41
Br (0.3910, 0.0756, 0.2273)  1 Pb 3.12, 2 K 3.30-3.32, 2 Tl 3.41-3.42

Which formula does entry 7 have?
TcRhIO2

Among the records above, which one has the lowest total DFT energy (no corrections)?
TaMo2Ir

What is the total DFT energy (no corrections) in the eighth record?
-2.948 eV/atom

What did the fourth record say?
VASP calculation (PBE-GGA) on a relaxed CrAs2Ir crystal.

Calculated values
* space-group type: Pmm2 (25)
* crystal system: orthorhombic
* total DFT energy (no corrections): -6.971 eV/atom
* ΔH_f (0 K): -0.57 kcal/mol of atoms
* E above lowest polymorph: 16 meV per atom

a = 4.6201 Å, b = 3.0213 Å, c = 4.3469 Å
α = 90.04°, β = 90.00°, γ = 90.00°
Closest atoms and distances in Å follow each position.
Atoms (fractional coordinates):
As (0.0000, 0.8750, 0.9885)  2 Ir 2.55, 4 Cr 2.60-2.69
As (0.5000, 0.3749, 0.2695)  2 Cr 2.52, 4 Ir 2.55-2.75
Cr (0.0000, 0.3750, 0.5004)  6 As 2.52-2.69
Ir (0.5000, 0.8751, 0.7416)  6 As 2.55-2.75